## Ba3NaY (PBE)

Data for an optimized crystal structure of Ba3NaY.

Results
* V: 65.7 Å³/atom
* final energy: -2.180 eV per atom
* formation energy: 530.4 meV/atom

```
Ba3NaY
1.0
-1.259 -6.552 1.764
3.385 0.948 5.938
-5.880 1.949 3.041
Ba Na Y
3 1 1
Cartesian
1.693 0.474 2.969 Ba
-0.629 -3.276 0.882 Ba
-2.940 0.974 1.521 Ba
-1.877 -1.827 5.372 Na
0.000 0.000 0.000 Y
```

## RbYAl2Ga (PBE)

Data for an optimized crystal structure of RbYAl2Ga.

Results
* V: 32.0 Å³/atom
* final energy: -2.317 eV per atom
* formation energy: 1271.5 meV/atom

```
RbYAl2Ga
1.0
-1.817 3.778 -3.475
-1.012 -3.844 -3.650
-5.030 -0.577 2.003
Ga Rb Y Al
1 1 1 2
Cartesian
-0.506 -1.922 -1.825 Ga
0.000 0.000 0.000 Rb
-3.930 -0.321 -2.561 Y
-2.515 -0.288 1.001 Al
-0.908 1.889 -1.737 Al
```

## Cs3Rb5Na3 (PBE)

Data for an optimized crystal structure of Cs3Rb5Na3.

Results
* V: 101.4 Å³/atom
* final energy: -0.933 eV per atom
* formation energy: 98.8 meV/atom

```
Cs3Rb5Na3
1.0
7.981 0.000 0.000
0.000 11.000 -6.351
0.000 0.000 12.702
Cs Rb Na
3 5 3
Cartesian
0.000 5.819 -3.360 Cs
0.000 5.181 2.991 Cs
0.000 0.000 6.720 Cs
3.990 7.333 0.000 Rb
3.990 8.329 4.809 Rb
3.990 0.000 3.085 Rb
3.990 2.671 -1.542 Rb
3.990 3.667 6.351 Rb
3.990 4.027 2.325 Na
3.990 6.973 -4.026 Na
3.990 0.000 8.051 Na
```

## Nd2YCd (PBE)

Data for an optimized crystal structure of Nd2YCd.

Results
* V: 31.5 Å³/atom
* final energy: -4.367 eV per atom
* formation energy: -137.8 meV/atom

```
Nd2YCd
1.0
3.729 0.000 0.000
0.000 3.729 0.000
0.000 0.000 9.052
Y Cd Nd
1 1 2
Cartesian
1.864 1.864 4.526 Y
1.864 1.864 0.000 Cd
0.000 0.000 7.012 Nd
0.000 0.000 2.040 Nd
```